Entry from Alexandria: a geometry-optimized Sm5Bi2Sb structure (PBE-GGA).

The structure in POSCAR format:
```
Sm5Bi2Sb
1.0
-4.042 -4.271 -2.170
0.207 0.752 7.185
-10.203 10.039 -0.756
Sm Bi Sb
10 4 2
direct
0.945 0.889 0.886
0.945 0.889 0.614
0.374 0.748 0.430
0.374 0.748 0.070
0.672 0.343 0.250
0.328 0.657 0.750
0.626 0.252 0.570
0.626 0.252 0.930
0.055 0.111 0.114
0.055 0.111 0.386
0.816 0.632 0.425
0.816 0.632 0.075
0.184 0.368 0.575
0.184 0.368 0.925
0.761 0.523 0.750
0.239 0.477 0.250
```

Results
* formation energy from raw total energies: -0.45 eV per atom
* size of the total moment: 0.000 μB per atom
* energy: -4.880 eV per atom
* SG: Cmcm (63)

***

Entry from Alexandria: a geometry-optimized Sm4Bi2Sb structure (PBE-GGA).

The structure in POSCAR format:
```
Sm4Bi2Sb
1.0
-3.434 0.529 7.797
-1.755 -7.564 -3.547
8.464 0.860 0.641
Sm Bi Sb
8 4 2
direct
0.939 0.248 0.308
0.311 0.502 0.192
0.940 0.631 0.692
0.752 0.061 0.692
0.369 0.060 0.308
0.311 0.119 0.808
0.498 0.689 0.808
0.881 0.689 0.192
0.625 0.375 0.750
0.625 0.875 0.250
0.625 0.375 0.250
0.125 0.375 0.750
0.250 0.750 0.500
0.000 0.000 0.000
```

Results
* formation energy from raw total energies: -0.69 eV per atom
* size of the total moment: 0.118 μB per atom
* energy: -5.085 eV per atom
* E above lowest polymorph: 194 meV/atom
* SG: I4_1/amd (141)

***

Entry from Alexandria: a geometry-optimized Sm2BiSb structure (PBE-GGA).

The structure in POSCAR format:
```
Sm2BiSb
1.0
7.554 0.402 -1.998
-3.577 6.660 -1.995
-0.034 -0.058 10.086
Sm Bi Sb
8 4 4
direct
0.180 0.434 0.375
0.565 0.310 0.125
0.060 0.815 0.125
0.305 0.059 0.625
0.695 0.941 0.375
0.940 0.185 0.875
0.435 0.690 0.875
0.820 0.566 0.625
0.562 0.812 0.623
0.687 0.437 0.873
0.313 0.563 0.127
0.438 0.188 0.377
0.188 0.938 0.877
0.937 0.687 0.373
0.063 0.313 0.627
0.812 0.062 0.123
```

Results
* formation energy from raw total energies: -1.05 eV per atom
* size of the total moment: 0.000 μB per atom
* energy: -5.412 eV per atom
* E above lowest polymorph: 0 meV/atom
* SG: C2/c (15)

***

Entry from Alexandria: a geometry-optimized Sm3Bi2Sb structure (PBE-GGA).

The structure in POSCAR format:
```
Sm3Bi2Sb
1.0
4.334 0.000 -1.312
-0.793 5.785 -2.619
0.010 0.014 7.847
Sm Bi Sb
3 2 1
direct
0.837 0.337 0.174
0.163 0.663 0.826
0.500 0.000 0.500
0.832 0.832 0.164
0.168 0.168 0.836
0.500 0.500 0.500
```

Results
* formation energy from raw total energies: -1.01 eV per atom
* size of the total moment: 0.000 μB per atom
* energy: -5.349 eV per atom
* SG: Immm (71)

***

Entry from Alexandria: a geometry-optimized Sm7Bi2Sb2 structure (PBE-GGA).

The structure in POSCAR format:
```
Sm7Bi2Sb2
1.0
7.418 -0.003 -0.374
0.003 6.982 0.003
-0.836 -0.003 7.380
Sm Bi Sb
7 2 2
direct
0.000 0.266 0.500
0.500 0.734 0.000
0.000 0.734 0.500
0.500 0.266 0.000
0.000 0.000 0.000
0.500 0.743 0.500
0.500 0.257 0.500
0.805 0.500 0.805
0.195 0.500 0.195
0.725 0.000 0.275
0.275 0.000 0.725
```

Results
* formation energy from raw total energies: -0.48 eV per atom
* size of the total moment: 0.000 μB per atom
* energy: -4.940 eV per atom
* SG: Cmmm (65)

***

Entry from Alexandria: a geometry-optimized Sm6BiSb2Te3 structure (PBE-GGA).

The structure in POSCAR format:
```
Sm6BiSb2Te3
1.0
4.477 0.000 0.000
0.000 8.945 0.315
-2.238 -2.582 9.422
Sm Bi Sb Te
6 1 2 3
direct
0.332 0.908 0.665
0.669 0.578 0.339
0.668 0.092 0.335
0.003 0.251 0.007
0.997 0.749 0.993
0.331 0.422 0.661
0.500 0.000 0.000
0.833 0.667 0.666
0.167 0.333 0.334
0.500 0.500 0.000
0.835 0.167 0.669
0.165 0.833 0.331
```

Results
* formation energy from raw total energies: -1.27 eV per atom
* size of the total moment: 0.000 μB per atom
* energy: -5.430 eV per atom
* SG: C2/m (12)

***

Entry from Alexandria: a geometry-optimized Sm6Bi3Sb2Te structure (PBE-GGA).

The structure in POSCAR format:
```
Sm6Bi3Sb2Te
1.0
-0.941 -3.457 2.742
6.396 2.798 5.722
-7.562 6.417 1.782
Sm Bi Sb Te
6 3 2 1
direct
0.332 0.912 0.664
0.668 0.579 0.336
0.668 0.088 0.336
0.002 0.253 0.004
0.998 0.747 0.996
0.332 0.421 0.664
0.500 0.500 0.000
0.835 0.167 0.669
0.165 0.833 0.331
0.833 0.668 0.667
0.167 0.332 0.333
0.500 0.000 0.000
```

Results
* formation energy from raw total energies: -1.11 eV per atom
* size of the total moment: 0.000 μB per atom
* energy: -5.387 eV per atom
* SG: C2/m (12)

***

Entry from Alexandria: a geometry-optimized Sm4Bi2SbTe structure (PBE-GGA).

The structure in POSCAR format:
```
Sm4Bi2SbTe
1.0
4.515 0.000 0.000
0.000 7.801 -0.154
0.000 2.746 7.307
Sm Bi Sb Te
4 2 1 1
direct
0.000 0.746 0.755
0.000 0.254 0.245
0.500 0.749 0.246
0.500 0.251 0.754
0.000 0.000 0.000
0.500 0.000 0.500
0.500 0.500 0.000
0.000 0.500 0.500
```

Results
* formation energy from raw total energies: -1.13 eV per atom
* size of the total moment: 0.000 μB per atom
* energy: -5.370 eV per atom
* SG: P2/m (10)

***

Entry from Alexandria: a geometry-optimized Sm8BiSb3Te4 structure (PBE-GGA).

The structure in POSCAR format:
```
Sm8BiSb3Te4
1.0
8.950 0.000 0.000
0.000 8.948 -0.007
-4.475 -4.471 6.332
Sm Bi Sb Te
8 1 3 4
direct
0.250 0.742 0.993
0.250 0.742 0.499
0.254 0.261 0.507
0.743 0.742 0.993
0.257 0.258 0.007
0.746 0.739 0.493
0.750 0.258 0.501
0.750 0.258 0.007
0.000 0.500 0.000
0.500 0.500 0.000
0.500 0.500 0.500
0.000 0.500 0.500
0.500 0.000 0.000
0.500 0.000 0.500
0.000 0.000 0.000
0.000 0.000 0.500
```

Results
* formation energy from raw total energies: -1.29 eV per atom
* size of the total moment: 0.000 μB per atom
* energy: -5.447 eV per atom
* SG: R-3m (166)

***

Entry from Alexandria: a geometry-optimized Sm4BiSb2Te structure (PBE-GGA).

The structure in POSCAR format:
```
Sm4BiSb2Te
1.0
-0.388 1.338 4.270
-3.000 -6.922 1.896
5.731 -4.830 2.035
Sm Bi Sb Te
4 1 2 1
direct
0.000 0.757 0.749
0.000 0.243 0.251
0.500 0.759 0.246
0.500 0.241 0.754
0.500 0.500 0.000
0.000 0.000 0.000
0.500 0.000 0.500
0.000 0.500 0.500
```

Results
* formation energy from raw total energies: -1.20 eV per atom
* size of the total moment: 0.000 μB per atom
* energy: -5.471 eV per atom
* SG: P2/m (10)

***

Entry from Alexandria: a geometry-optimized SmTmBiSb structure (PBE-GGA).

The structure in POSCAR format:
```
SmTmBiSb
1.0
4.453 0.000 0.000
0.000 4.446 0.264
0.000 -0.375 6.279
Sm Tm Bi Sb
1 1 1 1
direct
0.000 0.892 0.592
0.500 0.391 0.093
0.500 0.392 0.593
0.000 0.891 0.092
```

Results
* formation energy from raw total energies: -0.97 eV per atom
* size of the total moment: 0.000 μB per atom
* energy: -5.269 eV per atom
* SG: P4/mmm (123)